No. 1
Ba3GaTe | PBE-GGA | relaxed

Its crystal system is cubic. The polymorph energy (0 for the lowest one) is 0.0000 eV/atom. Its uncorrected formation energy is -479 meV/atom. The calculated density is 4.03 g/cm³. Its total energy is -0.211 Ry per atom.

a b c (Å): 6.309 6.309 6.309
angles (deg): 90.00 90.00 90.00
Sites, in units of the cell vectors:
Ga: 0.000 0.000 0.000
Ba: 0.000 0.000 0.500
Ba: 0.000 0.500 0.000
Ba: 0.500 0.000 0.000
Te: 0.500 0.500 0.500

No. 2
PrEr7Th3 | PBE-GGA | relaxed

Its crystal system is trigonal. The calculated density is 9.08 g/cm³. Its total energy is -0.378 Ry per atom. For the formation energy, the calculation gives 0.217 eV/atom.

a b c (Å): 8.543 7.045 7.045
angles (deg): 120.00 90.00 90.00
Sites, in units of the cell vectors:
Er: 0.451 0.832 0.664
Er: 0.451 0.832 0.168
Er: 0.114 0.667 0.333
Er: 0.451 0.336 0.168
Er: 0.113 0.167 0.833
Er: 0.113 0.666 0.833
Er: 0.113 0.167 0.334
Pr: 0.454 0.333 0.667
Th: 0.785 0.501 0.003
Th: 0.785 0.997 0.499
Th: 0.785 0.501 0.499

No. 3
MnAg2Ir | PBE-GGA | relaxed

Its crystal system is orthorhombic. The polymorph energy (0 for the lowest one) is 0.2109 eV/atom. The calculated density is 11.89 g/cm³. Its total energy is -0.410 Ry per atom. For the formation energy, the calculation gives 0.359 eV/atom.

a b c (Å): 2.803 4.226 5.454
angles (deg): 90.00 90.00 90.00
Last column: magnetic moment on the atom in μB.
Sites, in units of the cell vectors:
Ag: 0.000 0.000 0.999  0.02
Ag: 0.000 0.000 0.501  0.02
Mn: 0.500 0.500 0.750  3.86
Ir: 0.500 0.500 0.250  0.47

No. 4
ZnTc2Mo | PBE-GGA | relaxed

Its crystal system is tetragonal. The calculated density is 10.07 g/cm³. Its total energy is -0.597 Ry per atom. For the formation energy, the calculation gives 0.081 eV/atom.

a b c (Å): 3.184 3.184 5.812
angles (deg): 90.00 90.00 90.00
Sites, in units of the cell vectors:
Zn: 0.500 0.500 0.250
Mo: 0.500 0.500 0.750
Tc: 0.000 0.000 0.494
Tc: 0.000 0.000 0.006

No. 5
SrPd4Pb4 | PBE-GGA | relaxed

Its crystal system is tetragonal. The calculated density is 9.33 g/cm³. Its total energy is -0.326 Ry per atom. For the formation energy, the calculation gives -0.293 eV/atom.

a b c (Å): 5.568 9.261 9.261
angles (deg): 90.00 90.00 90.00
Sites, in units of the cell vectors:
Pb: 0.591 0.884 0.649
Pb: 0.909 0.616 0.851
Pb: 0.409 0.649 0.116
Pb: 0.091 0.851 0.384
Pb: 0.409 0.351 0.884
Pb: 0.909 0.384 0.149
Pb: 0.591 0.116 0.351
Pb: 0.091 0.149 0.616
Pd: 0.910 0.690 0.151
Pd: 0.410 0.651 0.810
Pd: 0.090 0.151 0.310
Pd: 0.410 0.349 0.190
Pd: 0.910 0.310 0.849
Pd: 0.590 0.810 0.349
Pd: 0.090 0.849 0.690
Pd: 0.590 0.190 0.651
Sr: 0.000 0.000 0.000
Sr: 0.500 0.500 0.500

No. 6
Ho8FeBi2 | PBE-GGA | relaxed

Its crystal system is monoclinic. The calculated density is 9.74 g/cm³. Its total energy is -0.369 Ry per atom. For the formation energy, the calculation gives -0.214 eV/atom.

a b c (Å): 5.343 6.674 9.759
angles (deg): 113.01 105.89 90.00
Sites, in units of the cell vectors:
Ho: 0.413 0.568 0.826
Ho: 0.789 0.685 0.577
Ho: 0.991 0.217 0.982
Ho: 0.587 0.432 0.174
Ho: 0.636 0.987 0.273
Ho: 0.211 0.315 0.423
Ho: 0.364 0.013 0.727
Ho: 0.009 0.783 0.018
Fe: 0.500 0.000 0.000
Bi: 0.172 0.737 0.343
Bi: 0.828 0.263 0.657

No. 7
Tb6Dy | PBE-GGA | relaxed

Its crystal system is cubic. The polymorph energy (0 for the lowest one) is 1.1862 eV/atom. The calculated density is 7.23 g/cm³. Its total energy is -0.234 Ry per atom. For the formation energy, the calculation gives 1.449 eV/atom.

a b c (Å): 6.932 6.932 6.932
angles (deg): 109.47 109.47 109.47
Sites, in units of the cell vectors:
Tb: 0.250 0.750 0.500
Tb: 0.500 0.750 0.250
Tb: 0.750 0.500 0.250
Tb: 0.500 0.250 0.750
Tb: 0.250 0.500 0.750
Tb: 0.750 0.250 0.500
Dy: 0.000 0.000 0.000

No. 8
LaSb2Te | PBE-GGA | relaxed

Its crystal system is orthorhombic. Its uncorrected formation energy is -759 meV/atom. The calculated density is 6.73 g/cm³. Its total energy is -0.356 Ry per atom.

a b c (Å): 6.325 6.325 4.764
angles (deg): 89.99 89.99 41.28
Sites, in units of the cell vectors:
Sb: 0.011 0.011 0.875
Sb: 0.771 0.771 0.875
La: 0.213 0.213 0.375
Te: 0.505 0.505 0.375

No. 9
KB2Pb | PBE-GGA | relaxed

Its crystal system is tetragonal. The polymorph energy (0 for the lowest one) is 0.0000 eV/atom. The calculated density is 4.90 g/cm³. Its total energy is -0.235 Ry per atom. For the formation energy, the calculation gives 1.339 eV/atom.

a b c (Å): 4.667 4.667 8.974
angles (deg): 74.93 74.93 90.00
Sites, in units of the cell vectors:
K: 0.250 0.750 0.500
K: 0.500 0.500 0.000
B: 0.875 0.625 0.250
B: 0.875 0.125 0.750
B: 0.375 0.125 0.750
B: 0.875 0.125 0.250
Pb: 0.750 0.250 0.500
Pb: 0.000 0.000 0.000

No. 10
NaMg30BiO32 | PBE-GGA | relaxed

Its crystal system is tetragonal. Its uncorrected formation energy is -2575 meV/atom. The calculated density is 3.81 g/cm³. Its total energy is -0.432 Ry per atom.

a b c (Å): 8.609 8.609 8.652
angles (deg): 90.00 90.00 90.00
Sites, in units of the cell vectors:
Mg: 0.500 0.500 0.000
Mg: 0.250 0.500 0.248
Mg: 0.250 0.250 0.000
Mg: 0.744 0.000 0.760
Mg: 0.256 0.000 0.240
Mg: 0.000 0.500 0.500
Mg: 0.250 0.750 0.000
Mg: 0.750 0.500 0.248
Mg: 0.000 0.744 0.240
Mg: 0.250 0.500 0.752
Mg: 0.500 0.750 0.248
Mg: 0.750 0.250 0.000
Mg: 0.750 0.750 0.000
Mg: 0.257 0.743 0.500
Mg: 0.500 0.750 0.752
Mg: 0.500 0.000 0.500
Mg: 0.744 0.000 0.240
Mg: 0.750 0.500 0.752
Mg: 0.256 0.000 0.760
Mg: 0.000 0.256 0.240
Mg: 0.743 0.257 0.500
Mg: 0.000 0.500 0.000
Mg: 0.257 0.257 0.500
Mg: 0.500 0.500 0.500
Mg: 0.500 0.250 0.248
Mg: 0.000 0.744 0.760
Mg: 0.000 0.256 0.760
Mg: 0.500 0.000 0.000
Mg: 0.500 0.250 0.752
Mg: 0.743 0.743 0.500
O: 0.500 0.500 0.251
O: 0.000 0.500 0.250
O: 0.500 0.747 0.000
O: 0.500 0.000 0.750
O: 0.500 0.000 0.250
O: 0.747 0.500 0.000
O: 0.000 0.000 0.242
O: 0.268 0.000 0.500
O: 0.250 0.250 0.251
O: 0.750 0.750 0.251
O: 0.500 0.253 0.000
O: 0.000 0.268 0.500
O: 0.250 0.750 0.749
O: 0.250 0.250 0.749
O: 0.253 0.500 0.500
O: 0.000 0.735 0.000
O: 0.500 0.500 0.749
O: 0.500 0.747 0.500
O: 0.747 0.500 0.500
O: 0.265 0.000 0.000
O: 0.000 0.265 0.000
O: 0.000 0.732 0.500
O: 0.500 0.253 0.500
O: 0.735 0.000 0.000
O: 0.000 0.500 0.750
O: 0.250 0.750 0.251
O: 0.750 0.750 0.749
O: 0.750 0.250 0.749
O: 0.732 0.000 0.500
O: 0.750 0.250 0.251
O: 0.253 0.500 0.000
O: 0.000 0.000 0.758
Na: 0.000 0.000 0.000
Bi: 0.000 0.000 0.500

No. 11
CaAsP2 | PBE-GGA | relaxed

Its crystal system is orthorhombic. The calculated density is 3.70 g/cm³. Its total energy is -0.332 Ry per atom. For the formation energy, the calculation gives -0.155 eV/atom.

a b c (Å): 3.624 3.892 5.625
angles (deg): 90.00 90.00 90.00
Sites, in units of the cell vectors:
P: 0.000 0.000 0.055
P: 0.000 0.000 0.445
As: 0.500 0.500 0.250
Ca: 0.500 0.500 0.750

No. 12
UTaN | PBE-GGA | relaxed

Its crystal system is orthorhombic. The polymorph energy (0 for the lowest one) is 0.4531 eV/atom. Its uncorrected formation energy is -214 meV/atom. The calculated density is 14.98 g/cm³. Its total energy is -0.787 Ry per atom.

a b c (Å): 3.067 3.067 6.171
angles (deg): 96.81 96.81 121.52
Last column: magnetic moment on the atom in μB.
Sites, in units of the cell vectors:
Ta: 0.964 0.964 0.929  0.03
U: 0.692 0.692 0.385  1.11
N: 0.343 0.343 0.687  -0.02